This record from Alexandria via LeMat-Bulk describes a relaxed structure of GaSiTe. The functional is PBE.

a b c (Å): 4.1263 5.4994 8.9951
angles (deg): 76.04 81.98 68.15
Last column: nearest neighbours and their distance in Å.
Positions (direct):
Si 0.1594 0.7151 0.5049  2 Si 2.41, 1 Ga 2.46, 1 Te 2.53
Si 0.5698 0.8271 0.6164  1 Ga 2.40, 2 Si 2.41, 1 Te 2.62
Te 0.2007 0.8193 0.2144  1 Si 2.53
Te 0.7091 0.4125 0.8447  1 Si 2.62, 2 Ga 2.76
Ga 0.3331 0.2677 0.6728  2 Si 2.40-2.46
Ga 0.8591 0.4204 0.3431  2 Te 2.96, 2 Si 3.07-3.09

Properties
VASP energy = -23.12 eV/cell
E_form (uncorrected) = 0.011 eV per atom
M_tot = 0.0 μB/cell